The following is a DFT calculation (PBE-GGA) of an optimized crystal structure of ZrPd7Pt4.

```
12
Lattice="4.8879 0.0000 0.0000 2.4439 8.4016 -0.3260 2.4439 0.1015 5.0028" Properties=species:S:1:pos:R:3 pbc="T T T"
Zr 0.0000 0.0000 0.0000
Pd 7.3318 7.7755 2.1249
Pd 2.4439 0.7275 2.5518
Pd 2.4439 5.2415 1.3465
Pd 7.3318 3.2616 3.3302
Pd 4.8879 4.6926 3.6788
Pd 2.4439 0.0000 0.0000
Pd 4.8879 3.8104 0.9979
Pt 4.8879 2.0113 2.9861
Pt 4.8879 6.4917 1.6906
Pt 7.3318 5.8710 4.0784
Pt 2.4439 2.6321 0.5983
```

Results
formation enthalpy at 0 K: 0.04 eV per atom
ρ: 13.06 Mg/m³
E: -5.716 eV per atom

The following is a DFT calculation (PBE-GGA) of an optimized crystal structure of ZrPd6Pt8.

```
15
Lattice="1.4400 -6.7099 0.9584 6.4748 -2.3118 -0.8644 3.7798 -1.9462 5.7446" Properties=species:S:1:pos:R:3 pbc="T T T"
Zr 0.0000 0.0000 0.0000
Pd 4.1004 -2.0013 0.4125
Pd 10.3287 -8.8387 4.8559
Pd 8.7661 -6.5228 4.7381
Pd 2.9284 -4.4451 1.1005
Pd 1.3658 -2.1292 0.9827
Pd 7.5942 -8.9666 5.4261
Pt 6.1178 -6.9117 4.2390
Pt 4.2757 -6.4909 2.3117
Pt 7.0709 -6.4796 1.7511
Pt 3.2335 -2.4540 3.0105
Pt 8.4610 -8.5140 2.8281
Pt 4.6237 -4.4884 4.0875
Pt 7.4189 -4.4770 3.5269
Pt 5.5768 -4.0563 1.5996
```

Results
formation enthalpy at 0 K: -0.11 eV per atom
ρ: 15.44 Mg/m³
E: -5.982 eV per atom

The following is a DFT calculation (PBE-GGA) of an optimized crystal structure of ZrPd3Pt2.

```
24
Lattice="3.9489 0.0000 0.0000 0.0000 6.2752 0.0000 0.0000 0.0000 16.2436" Properties=species:S:1:pos:R:3 pbc="T T T"
Zr 0.9872 2.8200 10.3538
Zr 2.9617 3.4552 5.8898
Zr 2.9617 0.3176 2.2320
Zr 0.9872 5.9576 14.0115
Pd 0.9872 2.2233 12.8936
Pd 2.9617 4.0519 3.3500
Pd 2.9617 0.9143 4.7718
Pd 0.9872 5.3610 11.4718
Pd 2.9617 1.6092 14.6249
Pd 0.9872 4.6660 1.6186
Pd 0.9872 1.5284 6.5031
Pd 2.9617 4.7469 9.7404
Pd 0.9872 0.3689 9.0627
Pd 2.9617 5.9064 7.1809
Pd 2.9617 2.7687 0.9409
Pd 0.9872 3.5065 15.3026
Pt 0.9872 0.9387 0.3790
Pt 2.9617 5.3366 15.8645
Pt 2.9617 2.1989 8.5008
Pt 0.9872 4.0763 7.7428
Pt 2.9617 1.0246 11.3289
Pt 0.9872 5.2506 4.9147
Pt 0.9872 2.1130 3.2071
Pt 2.9617 4.1623 13.0365
```

Results
formation enthalpy at 0 K: -0.48 eV per atom
ρ: 13.21 Mg/m³
E: -6.515 eV per atom

The following is a DFT calculation (PBE-GGA) of an optimized crystal structure of Zr2PdPt2.

```
10
Lattice="7.4474 0.0000 0.0000 0.0000 7.4474 0.0000 0.0000 0.0000 3.3975" Properties=species:S:1:pos:R:3 pbc="T T T"
Zr 1.2609 4.9846 1.6987
Zr 4.9846 6.1865 1.6987
Zr 6.1865 2.4628 1.6987
Zr 2.4628 1.2609 1.6987
Pd 0.0000 0.0000 0.0000
Pd 3.7237 3.7237 0.0000
Pt 2.7319 6.4556 0.0000
Pt 6.4556 4.7155 0.0000
Pt 4.7155 0.9918 0.0000
Pt 0.9918 2.7319 0.0000
```

Results
formation enthalpy at 0 K: -0.92 eV per atom
ρ: 11.97 Mg/m³
E: -7.797 eV per atom

- Which value of ρ does entry 3 give?
  13.21 Mg/m³